Record 1
Entry from Alexandria: a geometry-optimized Cu2OsPd structure (GGA-PBEsol).

Cell: 4.1757 4.1757 4.1757 Å, 60.00 60.00 60.00°
Closest atoms and distances in Å follow each position.
Positions (direct):
Pd1 0.0000 0.0000 0.0000  8 Cu 2.56
Cu1 0.2500 0.2500 0.2500  4 Pd 2.56, 4 Os 2.56
Cu2 0.7500 0.7500 0.7500  4 Os 2.56, 4 Pd 2.56
Os1 0.5000 0.5000 0.5000  8 Cu 2.56

Output
E   -25.17 eV per cell
Formation energy from the elements   0.42 eV/atom


Record 2
Entry from Alexandria: a geometry-optimized CuOsPd2 structure (GGA-PBEsol).

Cell: 4.2930 4.2930 4.2930 Å, 60.00 60.00 60.00°
Closest atoms and distances in Å follow each position.
Positions (direct):
Pd1 0.7500 0.7500 0.7500  4 Os 2.63, 4 Cu 2.63
Os1 0.5000 0.5000 0.5000  8 Pd 2.63
Pd2 0.2500 0.2500 0.2500  4 Os 2.63, 4 Cu 2.63
Cu1 0.0000 0.0000 0.0000  8 Pd 2.63

Output
E   -26.60 eV per cell
Formation energy from the elements   0.47 eV/atom


Record 3
Entry from Alexandria: a geometry-optimized ZrCuOs2Pd structure (GGA-PBEsol).

Cell: 4.7365 4.7365 4.7579 Å, 90.00 90.00 90.00°
Closest atoms and distances in Å follow each position.
Positions (direct):
Pd1 0.0000 0.0000 0.5000  2 Zr 2.38
Os1 0.5000 0.0000 0.0000  2 Zr 2.37
Zr1 0.0000 0.0000 0.0000  4 Os 2.37, 2 Pd 2.38
Os2 0.0000 0.5000 0.0000  2 Zr 2.37
Cu1 0.5000 0.5000 0.5000  4 Pd 3.35, 8 Os 3.36

Output
E   -32.89 eV per cell
Formation energy from the elements   2.18 eV/atom


Record 4
Entry from Alexandria: a geometry-optimized Cu2OsPt structure (GGA-PBEsol).

Cell: 2.6254 2.6254 8.7905 Å, 90.00 90.00 118.12°
Closest atoms and distances in Å follow each position.
Positions (direct):
Cu1 0.0000 0.0000 0.7485  2 Os 2.57, 2 Pt 2.59, 6 Cu 2.63-2.70
Pt1 0.5000 0.5000 0.0000  4 Cu 2.59, 6 Pt 2.63-2.70
Os1 0.5000 0.5000 0.5000  4 Cu 2.57, 6 Os 2.63-2.70
Cu2 0.0000 0.0000 0.2515  2 Os 2.57, 2 Pt 2.59, 6 Cu 2.63-2.70

Output
Distance to the lowest polymorph of the same formula   0.093 eV per atom
E   -26.94 eV per cell
Formation energy from the elements   0.23 eV/atom


Record 5
Entry from Alexandria: a geometry-optimized Cu2OsPt structure (GGA-PBEsol).

Cell: 2.7056 4.3952 5.0714 Å, 115.68 105.47 90.00°
Closest atoms and distances in Å follow each position.
Positions (direct):
Cu1 0.7407 0.2407 0.4814  4 Cu 2.43-2.71, 4 Pt 2.58, 2 Os 2.60
Os1 0.4948 0.4948 0.9897  6 Cu 2.58-2.60, 2 Pt 2.65, 2 Os 2.71
Cu2 0.0089 0.0089 0.0178  4 Cu 2.43-2.71, 4 Os 2.58, 2 Pt 2.59
Pt1 0.2556 0.7556 0.5111  6 Cu 2.58-2.59, 2 Os 2.65, 2 Pt 2.71

Output
Distance to the lowest polymorph of the same formula   0.150 eV per atom
E   -26.71 eV per cell
Formation energy from the elements   0.29 eV/atom


Record 6
Entry from Alexandria: a geometry-optimized Cu2OsPt structure (GGA-PBEsol).

Cell: 2.6969 2.6969 7.1166 Å, 90.00 90.00 90.00°
Closest atoms and distances in Å follow each position.
Positions (direct):
Pt1 0.5000 0.5000 0.7561  4 Cu 2.65, 4 Os 2.69, 4 Pt 2.70
Cu1 0.5000 0.5000 0.2392  8 Cu 2.49-2.70, 4 Os 2.61
Os1 0.0000 0.0000 0.4897  4 Cu 2.61, 4 Pt 2.69, 4 Os 2.70
Cu2 0.0000 0.0000 0.0151  8 Cu 2.49-2.70, 4 Pt 2.65

Output
Distance to the lowest polymorph of the same formula   0.000 eV per atom
E   -27.31 eV per cell
Formation energy from the elements   0.14 eV/atom